# K6CdI8, relaxed, DFT PBE-GGA
# D(E_F): 0.00 states/eV/f.u.
# total magnetic moment: 0.00 μB per cell
# space-group type: No. 148
# raw formation energy: -1.26 eV/atom
data_K6CdI8
_chemical_formula_sum 'K6 Cd1 I8'
_cell_length_a 9.208
_cell_length_b 9.208
_cell_length_c 9.208
_cell_angle_alpha 69.67
_cell_angle_beta 69.67
_cell_angle_gamma 69.67
_symmetry_space_group_name_H-M 'P 1'
_symmetry_Int_Tables_number 1
loop_
_symmetry_equiv_pos_as_xyz
'x,y,z'
loop_
_atom_site_label
_atom_site_fract_x
_atom_site_fract_y
_atom_site_fract_z
_atom_site_occupancy
K1 0.025 0.443 0.801 1
K2 0.199 0.975 0.557 1
K3 0.443 0.801 0.025 1
K4 0.557 0.199 0.975 1
K5 0.801 0.025 0.443 1
K6 0.975 0.557 0.199 1
Cd1 0.500 0.500 0.500 1
I1 0.159 0.159 0.159 1
I2 0.183 0.659 0.402 1
I3 0.341 0.598 0.817 1
I4 0.402 0.183 0.659 1
I5 0.598 0.817 0.341 1
I6 0.659 0.402 0.183 1
I7 0.817 0.341 0.598 1
I8 0.841 0.841 0.841 1